# Zr2FeRuN PBE relaxed
# ΔE_f (raw): -0.70 eV per atom
# symmetry: P4/mmm
data_Zr2FeRuN
_symmetry_space_group_name_H-M 'P 1'
_symmetry_Int_Tables_number 1
_cell_length_a 4.552
_cell_length_b 4.552
_cell_length_c 3.616
_cell_angle_alpha 90.00
_cell_angle_beta 90.00
_cell_angle_gamma 90.00
loop_
_symmetry_equiv_pos_as_xyz
'x,y,z'
loop_
_atom_site_label
_atom_site_type_symbol
_atom_site_fract_x
_atom_site_fract_y
_atom_site_fract_z
_atom_site_occupancy
Zr1 Zr 0.000 0.500 0.000 1
Zr2 Zr 0.500 0.000 0.000 1
N1 N 0.000 0.000 0.000 1
Ru1 Ru 0.500 0.500 0.500 1
Fe1 Fe 0.000 0.000 0.500 1

=====

# FeS2N PBE relaxed
# ΔE_f (raw): 0.75 eV per atom
# symmetry: I-42d
data_FeS2N
_symmetry_space_group_name_H-M 'P 1'
_symmetry_Int_Tables_number 1
_cell_length_a 4.861
_cell_length_b 4.861
_cell_length_c 5.877
_cell_angle_alpha 65.57
_cell_angle_beta 65.57
_cell_angle_gamma 90.00
loop_
_symmetry_equiv_pos_as_xyz
'x,y,z'
loop_
_atom_site_label
_atom_site_type_symbol
_atom_site_fract_x
_atom_site_fract_y
_atom_site_fract_z
_atom_site_occupancy
S1 S 0.375 0.377 0.750 1
S2 S 0.127 0.625 0.250 1
S3 S 0.623 0.125 0.250 1
S4 S 0.875 0.873 0.750 1
N1 N 0.250 0.750 0.500 1
N2 N 0.500 0.500 0.000 1
Fe1 Fe 0.000 0.000 0.000 1
Fe2 Fe 0.750 0.250 0.500 1

=====

# FeS2N PBE relaxed
# ΔE_f (raw): 1.27 eV per atom
# symmetry: R-3m
data_FeS2N
_symmetry_space_group_name_H-M 'P 1'
_symmetry_Int_Tables_number 1
_cell_length_a 7.113
_cell_length_b 7.113
_cell_length_c 7.113
_cell_angle_alpha 24.82
_cell_angle_beta 24.82
_cell_angle_gamma 24.82
loop_
_symmetry_equiv_pos_as_xyz
'x,y,z'
loop_
_atom_site_label
_atom_site_type_symbol
_atom_site_fract_x
_atom_site_fract_y
_atom_site_fract_z
_atom_site_occupancy
S1 S 0.898 0.898 0.898 1
S2 S 0.102 0.102 0.102 1
Fe1 Fe 0.000 0.000 0.000 1
N1 N 0.500 0.500 0.500 1

=====

# FeSN2 PBE relaxed
# ΔE_f (raw): 0.94 eV per atom
# symmetry: I-42d
data_FeSN2
_symmetry_space_group_name_H-M 'P 1'
_symmetry_Int_Tables_number 1
_cell_length_a 4.883
_cell_length_b 4.883
_cell_length_c 5.233
_cell_angle_alpha 62.19
_cell_angle_beta 62.19
_cell_angle_gamma 90.00
loop_
_symmetry_equiv_pos_as_xyz
'x,y,z'
loop_
_atom_site_label
_atom_site_type_symbol
_atom_site_fract_x
_atom_site_fract_y
_atom_site_fract_z
_atom_site_occupancy
S1 S 0.250 0.750 0.500 1
S2 S 0.500 0.500 0.000 1
N1 N 0.875 0.951 0.750 1
N2 N 0.049 0.625 0.250 1
N3 N 0.701 0.125 0.250 1
N4 N 0.375 0.299 0.750 1
Fe1 Fe 0.000 0.000 0.000 1
Fe2 Fe 0.750 0.250 0.500 1

=====

# FeS2N PBE relaxed
# ΔE_f (raw): 0.27 eV per atom
# symmetry: R-3m
data_FeS2N
_symmetry_space_group_name_H-M 'P 1'
_symmetry_Int_Tables_number 1
_cell_length_a 5.742
_cell_length_b 5.742
_cell_length_c 5.742
_cell_angle_alpha 34.18
_cell_angle_beta 34.18
_cell_angle_gamma 34.18
loop_
_symmetry_equiv_pos_as_xyz
'x,y,z'
loop_
_atom_site_label
_atom_site_type_symbol
_atom_site_fract_x
_atom_site_fract_y
_atom_site_fract_z
_atom_site_occupancy
Fe1 Fe 0.500 0.500 0.500 1
S1 S 0.097 0.097 0.097 1
S2 S 0.903 0.903 0.903 1
N1 N 0.000 0.000 0.000 1

=====

# Fe3SN PBE relaxed
# polymorph energy (0 for the lowest one): 0.00 eV/f.u.
# ΔE_f (raw): 0.13 eV per atom
# symmetry: Pm-3m
data_Fe3SN
_symmetry_space_group_name_H-M 'P 1'
_symmetry_Int_Tables_number 1
_cell_length_a 3.847
_cell_length_b 3.847
_cell_length_c 3.847
_cell_angle_alpha 90.00
_cell_angle_beta 90.00
_cell_angle_gamma 90.00
loop_
_symmetry_equiv_pos_as_xyz
'x,y,z'
loop_
_atom_site_label
_atom_site_type_symbol
_atom_site_fract_x
_atom_site_fract_y
_atom_site_fract_z
_atom_site_occupancy
Fe1 Fe 0.500 0.000 0.000 1
Fe2 Fe 0.000 0.500 0.000 1
Fe3 Fe 0.000 0.000 0.500 1
S1 S 0.500 0.500 0.500 1
N1 N 0.000 0.000 0.000 1

=====

# FeSN2 PBE relaxed
# ΔE_f (raw): 0.61 eV per atom
# symmetry: R-3m
data_FeSN2
_symmetry_space_group_name_H-M 'P 1'
_symmetry_Int_Tables_number 1
_cell_length_a 5.904
_cell_length_b 5.904
_cell_length_c 5.904
_cell_angle_alpha 28.14
_cell_angle_beta 28.14
_cell_angle_gamma 28.14
loop_
_symmetry_equiv_pos_as_xyz
'x,y,z'
loop_
_atom_site_label
_atom_site_type_symbol
_atom_site_fract_x
_atom_site_fract_y
_atom_site_fract_z
_atom_site_occupancy
N1 N 0.105 0.105 0.105 1
N2 N 0.895 0.895 0.895 1
S1 S 0.000 0.000 0.000 1
Fe1 Fe 0.500 0.500 0.500 1

=====

# Fe2SN PBE relaxed
# polymorph energy (0 for the lowest one): 3.15 eV/f.u.
# ΔE_f (raw): 0.58 eV per atom
# symmetry: Fm-3m
data_Fe2SN
_symmetry_space_group_name_H-M 'P 1'
_symmetry_Int_Tables_number 1
_cell_length_a 3.768
_cell_length_b 3.768
_cell_length_c 3.768
_cell_angle_alpha 60.00
_cell_angle_beta 60.00
_cell_angle_gamma 60.00
loop_
_symmetry_equiv_pos_as_xyz
'x,y,z'
loop_
_atom_site_label
_atom_site_type_symbol
_atom_site_fract_x
_atom_site_fract_y
_atom_site_fract_z
_atom_site_occupancy
Fe1 Fe 0.250 0.250 0.250 1
Fe2 Fe 0.750 0.750 0.750 1
N1 N 0.000 0.000 0.000 1
S1 S 0.500 0.500 0.500 1